1.
DFT (GGA-PBE) results for a relaxed structure of ErHfNp2P4. Values from VASP.

Quantum ESPRESSO input file:
```
&SYSTEM
  ibrav = 0, nat = 8, ntyp = 4
/
ATOMIC_SPECIES
Er 167.26 Er.upf
Hf 178.49 Hf.upf
Np 237.00 Np.upf
P 30.97 P.upf
CELL_PARAMETERS angstrom
6.721 0.000 0.000
0.000 3.877 0.000
-2.238 0.000 6.363
ATOMIC_POSITIONS crystal
Er 0.000 0.000 0.000
Hf 0.000 0.500 0.500
Np 0.500 0.000 0.500
Np 0.500 0.500 0.000
P 0.240 0.000 0.739
P 0.245 0.500 0.258
P 0.755 0.500 0.742
P 0.760 0.000 0.261
```

The crystal system is monoclinic. The value obtained for the density is 9.5 g cm⁻³. The raw total energy is -8.911 eV per atom.

2.
DFT (GGA-PBE) results for a relaxed structure of ScNi4Sn. Values from VASP.

Quantum ESPRESSO input file:
```
&SYSTEM
  ibrav = 0, nat = 6, ntyp = 3
/
ATOMIC_SPECIES
Sc 44.96 Sc.upf
Ni 58.69 Ni.upf
Sn 118.71 Sn.upf
CELL_PARAMETERS angstrom
0.000 3.456 3.456
3.456 0.000 3.456
3.456 3.456 0.000
ATOMIC_POSITIONS crystal
Sc 0.000 0.000 0.000
Ni 0.375 0.375 0.375
Ni 0.375 0.375 0.875
Ni 0.375 0.875 0.375
Ni 0.875 0.375 0.375
Sn 0.750 0.750 0.750
```

The crystal system is cubic. The value obtained for the density is 8.0 g cm⁻³. The raw total energy is -5.987 eV per atom.

3.
DFT (GGA-PBE) results for a relaxed structure of InGa2Ni5. Values from VASP.

Quantum ESPRESSO input file:
```
&SYSTEM
  ibrav = 0, nat = 8, ntyp = 3
/
ATOMIC_SPECIES
In 114.82 In.upf
Ga 69.72 Ga.upf
Ni 58.69 Ni.upf
CELL_PARAMETERS angstrom
-1.953 1.953 6.691
1.953 -1.953 6.691
1.953 1.953 -6.691
ATOMIC_POSITIONS crystal
In 0.000 0.000 0.000
Ga 0.254 0.254 0.000
Ga 0.746 0.746 0.000
Ni 0.135 0.635 0.500
Ni 0.365 0.865 0.500
Ni 0.500 0.500 0.000
Ni 0.635 0.135 0.500
Ni 0.865 0.365 0.500
```

The crystal system is tetragonal. The value obtained for the density is 8.9 g cm⁻³. The raw total energy is -4.946 eV per atom.